Record 1
{"formula": "Pm2CuBr8", "functional": "PBE", "state": "relaxed", "total_magnetization_mub_per_fu": 0.0, "rho_g_cm3": 3.28, "lattice_angstrom": [[10.7516, 0.6340, 0.4429], [1.9553, 7.7946, 1.4033], [1.9553, 4.0000, 6.8355]], "species": ["Pm", "Pm", "Cu", "Br", "Br", "Br", "Br", "Br", "Br", "Br", "Br"], "fractional_positions": [[0.6774, 0.2338, 0.2338], [0.3226, 0.7662, 0.7662], [0.0000, 0.0000, 0.0000], [0.1285, 0.1466, 0.6379], [0.1285, 0.6379, 0.1466], [0.8715, 0.8534, 0.3621], [0.2949, 0.5953, 0.5953], [0.8715, 0.3621, 0.8534], [0.4215, 0.2183, 0.2183], [0.5785, 0.7817, 0.7817], [0.7051, 0.4047, 0.4047]]}

Record 2
{"formula": "LiCuNi2N", "functional": "PBE", "state": "relaxed", "de_polymorph_mev_per_atom": 21.7, "total_magnetization_mub_per_fu": 0.0, "rho_g_cm3": 6.21, "lattice_angstrom": [[-2.3735, 0.3864, 2.8467], [-1.9065, -2.9741, -1.1859], [2.2434, -2.3089, 2.1839]], "species": ["Ni", "Ni", "Li", "Cu", "N"], "fractional_positions": [[0.0000, 0.5000, 0.0000], [0.5000, 0.0000, 0.0000], [0.5000, 0.5000, 0.5000], [0.0000, 0.0000, 0.5000], [0.0000, 0.0000, 0.0000]]}

no.,uncorrected formation energy (eV per atom)
1,-1.304
2,-0.086